An optimized crystal structure of La2TiNiO6. Source: the Alexandria database, functional PBE+U.

Cell: 5.5690 5.6455 9.6665 Å, 90.00 125.16 90.00°
With the nearest neighbours (Å) after each atom.
Element x y z (fractional)
La 0.2425 0.0416 0.2510  6 O 2.40-2.67
La 0.2425 0.4584 0.7510  6 O 2.40-2.67
La 0.7575 0.5416 0.2490  6 O 2.40-2.67
La 0.7575 0.9584 0.7490  6 O 2.40-2.67
Ti 0.0000 0.0000 0.5000  6 O 1.97-1.99
Ti 0.0000 0.5000 0.0000  6 O 1.97-1.99
Ni 0.5000 0.0000 0.0000  6 O 2.09-2.10
Ni 0.5000 0.5000 0.5000  6 O 2.09-2.10
O 0.1564 0.2171 0.9545  1 Ti 1.99, 1 Ni 2.09
O 0.1564 0.2829 0.4545  1 Ti 1.99, 1 Ni 2.09
O 0.2395 0.7027 0.9573  1 Ti 1.97, 1 Ni 2.10
O 0.2395 0.7973 0.4573  1 Ti 1.97, 1 Ni 2.10
O 0.3254 0.0219 0.7424  1 Ti 1.97, 1 Ni 2.09
O 0.3254 0.4781 0.2424  1 Ti 1.97, 1 Ni 2.09
O 0.6746 0.5219 0.7576  1 Ti 1.97, 1 Ni 2.09
O 0.6746 0.9781 0.2576  1 Ti 1.97, 1 Ni 2.09
O 0.7605 0.2027 0.5427  1 Ti 1.97, 1 Ni 2.10
O 0.7605 0.2973 0.0427  1 Ti 1.97, 1 Ni 2.10
O 0.8436 0.7171 0.5455  1 Ti 1.99, 1 Ni 2.09
O 0.8436 0.7829 0.0455  1 Ti 1.99, 1 Ni 2.09

SG	P2_1/c
VASP energy	-0.5843	Ry per atom